[1]
This record from Alexandria describes an optimized crystal structure of TeAsAuBr2. The functional is PBE-GGA.

Calculated values
- M_tot (Bohr magnetons per cell) = 0.559
- energy relative to the lowest polymorph listed for this composition (meV/atom) = 0
- formation energy from raw total energies (eV per atom) = 0.470

Cell lengths 5.119, 5.119, 5.454 Å; angles 90.00, 90.00, 90.00 degrees
Fractional positions:
Te 0.000 0.000 0.000
As 0.500 0.500 0.000
Au 0.500 0.500 0.500
Br 0.000 0.500 0.500
Br 0.500 0.000 0.500

***

[2]
This record from Alexandria describes an optimized crystal structure of TeAs2AuBr. The functional is PBE-GGA.

Calculated values
- M_tot (Bohr magnetons per cell) = 0.004
- energy relative to the lowest polymorph listed for this composition (meV/atom) = 0
- formation energy from raw total energies (eV per atom) = 0.620

Cell lengths 5.147, 5.147, 5.073 Å; angles 90.00, 90.00, 90.00 degrees
Fractional positions:
Te 0.000 0.000 0.000
As 0.000 0.500 0.500
As 0.500 0.000 0.500
Au 0.500 0.500 0.500
Br 0.500 0.500 0.000

***

[3]
This record from Alexandria describes an optimized crystal structure of TiAs2AuBr. The functional is PBE-GGA.

Calculated values
- M_tot (Bohr magnetons per cell) = 0.000
- energy relative to the lowest polymorph listed for this composition (meV/atom) = 0
- formation energy from raw total energies (eV per atom) = 0.210

Cell lengths 4.988, 4.988, 4.875 Å; angles 90.00, 90.00, 90.00 degrees
Fractional positions:
Ti 0.000 0.000 0.000
As 0.000 0.500 0.000
As 0.500 0.000 0.000
Au 0.500 0.500 0.500
Br 0.000 0.000 0.500

***

[4]
This record from Alexandria describes an optimized crystal structure of TiAs2AuBr. The functional is PBE-GGA.

Calculated values
- M_tot (Bohr magnetons per cell) = 1.271
- energy relative to the lowest polymorph listed for this composition (meV/atom) = 574
- formation energy from raw total energies (eV per atom) = 0.784

Cell lengths 5.009, 5.009, 5.268 Å; angles 90.00, 90.00, 90.00 degrees
Fractional positions:
Ti 0.000 0.000 0.000
As 0.000 0.500 0.500
As 0.500 0.000 0.500
Au 0.500 0.500 0.500
Br 0.500 0.500 0.000